(1)
# PBE BeNi2Ru, optimized geometry
data_BeNi2Ru
_symmetry_space_group_name_H-M 'P 4/m m m'
_symmetry_Int_Tables_number 123
_symmetry_space_group_name_Hall '-P 4 2'
_cell_length_a 3.356
_cell_length_b 3.356
_cell_length_c 3.900
_cell_angle_alpha 90.00
_cell_angle_beta 90.00
_cell_angle_gamma 90.00
loop_
_atom_site_label
_atom_site_type_symbol
_atom_site_fract_x
_atom_site_fract_y
_atom_site_fract_z
Be1 Be 0.000 0.000 0.000
Ni1 Ni 0.000 0.500 0.500
Ru1 Ru 0.500 0.500 0.000
# * final energy: -24.76 eV/cell
# * ΔE_f: -0.049 eV per atom

***

(2)
# PBE AcNpSeO2, optimized geometry
data_AcNpSeO2
_symmetry_space_group_name_H-M 'I 4 m m'
_symmetry_Int_Tables_number 107
_symmetry_space_group_name_Hall 'I 4 -2'
_cell_length_a 4.003
_cell_length_b 4.003
_cell_length_c 12.817
_cell_angle_alpha 90.00
_cell_angle_beta 90.00
_cell_angle_gamma 90.00
loop_
_atom_site_label
_atom_site_type_symbol
_atom_site_fract_x
_atom_site_fract_y
_atom_site_fract_z
Ac1 Ac 0.000 0.000 0.000
Np1 Np 0.000 0.000 0.703
Se1 Se 0.000 0.000 0.350
O1 O 0.000 0.500 0.112
# * raw formation energy: -2.607 eV per atom
# * final energy: -86.97 eV/cell

***

(3)
# PBE Tl2CdHgCl6, optimized geometry
data_Tl2CdHgCl6
_symmetry_space_group_name_H-M 'P -1'
_symmetry_Int_Tables_number 2
_cell_length_a 7.097
_cell_length_b 7.167
_cell_length_c 7.766
_cell_angle_alpha 94.62
_cell_angle_beta 115.38
_cell_angle_gamma 116.32
loop_
_symmetry_equiv_pos_as_xyz
'x,y,z'
'-x,-y,-z'
loop_
_atom_site_label
_atom_site_type_symbol
_atom_site_fract_x
_atom_site_fract_y
_atom_site_fract_z
Tl1 Tl 0.034 0.270 0.299
Cd1 Cd 0.500 0.000 0.500
Hg1 Hg 0.500 0.500 0.000
Cl1 Cl 0.029 0.817 0.326
Cl2 Cl 0.388 0.724 0.130
Cl3 Cl 0.483 0.705 0.674
# * raw formation energy: -0.898 eV per atom
# * final energy: -26.01 eV/cell

***

no.,V (Å³ per atom)
1,11.0
2,20.5
3,30.1